LiPaMnO5 | PBE+U | optimized geometry

## Properties
SG = No. 15
Uncorrected energy = -7.8327 eV per atom
Calculated density = 7.022 g cm⁻³
M_tot = 0.373 μB/atom

abc: 5.436 5.436 6.796
angles: 101.13 101.13 110.93
Sites, in units of the cell vectors:
Li (0.188, 0.812, 0.750)
Li (0.812, 0.188, 0.250)
Pa (0.144, 0.856, 0.250)
Pa (0.856, 0.144, 0.750)
Mn (0.500, 0.500, 0.000)
Mn (0.500, 0.500, 0.500)
O (0.126, 0.227, 0.452)
O (0.179, 0.549, 0.879)
O (0.227, 0.126, 0.952)
O (0.401, 0.599, 0.250)
O (0.451, 0.821, 0.621)
O (0.549, 0.179, 0.379)
O (0.599, 0.401, 0.750)
O (0.773, 0.874, 0.048)
O (0.821, 0.451, 0.121)
O (0.874, 0.773, 0.548)